A plane-wave DFT calculation with GGA-PBE was carried out for a geometry-optimized Nb3Co3Ir structure.

Structure (CIF):
```
data_Nb3Co3Ir
_cell_length_a 7.3163
_cell_length_b 7.3163
_cell_length_c 4.3495
_cell_angle_alpha 90.00
_cell_angle_beta 90.00
_cell_angle_gamma 120.00
_space_group_name_H-M_alt 'P 63/m'
_space_group_IT_number 176
_space_group_name_Hall '-P 6c'
loop_
_atom_site_label
_atom_site_type_symbol
_atom_site_fract_x
_atom_site_fract_y
_atom_site_fract_z
_atom_site_occupancy
Nb1 Nb 0.0815 0.4282 0.2500 1
Co1 Co 0.0431 0.2163 0.7500 1
Ir1 Ir 0.3333 0.6667 0.7500 1
```

Summary:
Spin magnetization: 1.1 μB/cell
Polymorph energy (0 for the lowest one): 0.00 kcal/mol of atoms
Energy relative to the elements: -0.1913 eV/atom

---

A plane-wave DFT calculation with GGA-PBE was carried out for a geometry-optimized MoPt2Rh5 structure.

Structure (CIF):
```
data_MoPt2Rh5
_cell_length_a 5.468
_cell_length_b 11.016
_cell_length_c 3.902
_cell_angle_alpha 90.00
_cell_angle_beta 90.00
_cell_angle_gamma 90.00
_space_group_name_H-M_alt 'P b a m'
_space_group_IT_number 55
_space_group_name_Hall '-P 2 2ab'
loop_
_atom_site_label
_atom_site_type_symbol
_atom_site_fract_x
_atom_site_fract_y
_atom_site_fract_z
_atom_site_occupancy
Mo1 Mo 0.000 0.000 0.000 1
Pt1 Pt 0.248 0.377 0.500 1
Rh1 Rh 0.000 0.500 0.000 1
Rh2 Rh 0.004 0.757 0.000 1
Rh3 Rh 0.243 0.123 0.500 1
```

Summary:
Spin magnetization: 0.0 μB/cell
Energy relative to the elements: -0.1535 eV/atom

---

A plane-wave DFT calculation with GGA-PBE was carried out for a geometry-optimized Sr4Nd structure.

Structure (CIF):
```
data_Sr4Nd
_cell_length_a 6.461
_cell_length_b 6.461
_cell_length_c 6.461
_cell_angle_alpha 90.00
_cell_angle_beta 90.00
_cell_angle_gamma 90.00
_space_group_name_H-M_alt 'P m -3 m'
_space_group_IT_number 221
_space_group_name_Hall '-P 4 2 3'
loop_
_atom_site_label
_atom_site_type_symbol
_atom_site_fract_x
_atom_site_fract_y
_atom_site_fract_z
_atom_site_occupancy
Sr1 Sr 0.000 0.000 0.000 1
Sr2 Sr 0.000 0.500 0.500 1
Nd1 Nd 0.500 0.500 0.500 1
```

Summary:
Spin magnetization: 1.3 μB/cell
Energy relative to the elements: 0.5221 eV/atom

---

A plane-wave DFT calculation with GGA-PBE was carried out for a geometry-optimized SmSiH structure.

Structure (CIF):
```
data_SmSiH
_cell_length_a 3.6836
_cell_length_b 3.6836
_cell_length_c 4.6654
_cell_angle_alpha 90.00
_cell_angle_beta 90.00
_cell_angle_gamma 120.00
_space_group_name_H-M_alt 'P -6 m 2'
_space_group_IT_number 187
_space_group_name_Hall 'P -6 2'
loop_
_atom_site_label
_atom_site_type_symbol
_atom_site_fract_x
_atom_site_fract_y
_atom_site_fract_z
_atom_site_occupancy
Sm1 Sm 0.0000 0.0000 0.0000 1
Si1 Si 0.6667 0.3333 0.5000 1
H1 H 0.3333 0.6667 0.0000 1
```

Summary:
Spin magnetization: 0.0 μB/cell
Polymorph energy (0 for the lowest one): 10.51 kcal/mol of atoms